Density functional theory data (GGA-PBE) for a geometry-optimized LiAg2W structure.

Cell: 2.747 2.747 8.594 Å, 90.00 90.00 90.00°
Space group P4mm (No. 99)
One atom of each set of equivalent atoms:
Li1 0.000 0.000 0.000 x1
Ag1 0.000 0.000 0.506 x1
Ag2 0.500 0.500 0.768 x1
W1 0.500 0.500 0.246 x1

Summary:
Formation energy from the elements = 0.357 eV per atom
Magnetic moment = 0.00 μB/f.u.